## Pr6DyTm (PBE)

Data for a relaxed structure of Pr6DyTm.

Geometry as CIF:
```
data_Pr6DyTm
_chemical_formula_sum 'Pr6 Dy1 Tm1'
_symmetry_space_group_name_H-M 'P 4/m m m'
_symmetry_Int_Tables_number 123
_symmetry_space_group_name_Hall '-P 4 2'
_cell_length_a 5.179
_cell_length_b 5.179
_cell_length_c 10.361
_cell_angle_alpha 90.00
_cell_angle_beta 90.00
_cell_angle_gamma 90.00
loop_
_atom_site_label
_atom_site_fract_x
_atom_site_fract_y
_atom_site_fract_z
Pr1 0.000 0.000 0.000
Pr2 0.000 0.000 0.500
Pr3 0.000 0.500 0.249
Dy1 0.500 0.500 0.500
Tm1 0.500 0.500 0.000
```

Properties
magnetic moment = 0.00 μB per formula unit
total energy = -0.173 Ha/atom
calculated volume = 277.9 Å³ per cell
E_form = 0.014 eV per atom
Fermi-level density of states = 1.609 states/eV/atom

## PrDy3Tm (PBE)

Data for a relaxed structure of PrDy3Tm.

Geometry as CIF:
```
data_PrDy3Tm
_chemical_formula_sum 'Pr2 Dy6 Tm2'
_symmetry_space_group_name_H-M 'P 1 21/m 1'
_symmetry_Int_Tables_number 11
_symmetry_space_group_name_Hall '-P 2yb'
_cell_length_a 3.639
_cell_length_b 11.618
_cell_length_c 8.522
_cell_angle_alpha 90.00
_cell_angle_beta 102.32
_cell_angle_gamma 90.00
loop_
_atom_site_label
_atom_site_fract_x
_atom_site_fract_y
_atom_site_fract_z
Pr1 0.196 0.250 0.391
Dy1 0.140 0.750 0.280
Dy2 0.348 0.002 0.696
Tm1 0.477 0.750 0.955
```

Properties
magnetic moment = 0.00 μB per formula unit
total energy = -0.157 Ha/atom
calculated volume = 352.0 Å³ per cell
E_form = 0.339 eV per atom
Fermi-level density of states = 1.727 states/eV/atom

## Pr3Dy4Tm8 (PBE)

Data for a relaxed structure of Pr3Dy4Tm8.

Geometry as CIF:
```
data_Pr3Dy4Tm8
_chemical_formula_sum 'Pr6 Dy8 Tm16'
_symmetry_space_group_name_H-M 'C 1 2/m 1'
_symmetry_Int_Tables_number 12
_symmetry_space_group_name_Hall '-C 2y'
_cell_length_a 13.315
_cell_length_b 12.842
_cell_length_c 6.696
_cell_angle_alpha 90.00
_cell_angle_beta 120.08
_cell_angle_gamma 90.00
loop_
_atom_site_label
_atom_site_fract_x
_atom_site_fract_y
_atom_site_fract_z
Pr1 0.000 0.000 0.000
Pr2 0.250 0.250 0.000
Dy1 0.000 0.500 0.000
Dy2 0.000 0.500 0.500
Dy3 0.250 0.250 0.500
Tm1 0.000 0.138 0.500
Tm2 0.000 0.247 0.000
Tm3 0.235 0.000 0.975
Tm4 0.237 0.000 0.496
```

Properties
magnetic moment = 0.00 μB per formula unit
total energy = -0.153 Ha/atom
calculated volume = 990.8 Å³ per cell
E_form = 0.396 eV per atom
Fermi-level density of states = 2.004 states/eV/atom

## Pr3Dy6Tm2 (PBE)

Data for a relaxed structure of Pr3Dy6Tm2.

Geometry as CIF:
```
data_Pr3Dy6Tm2
_chemical_formula_sum 'Pr9 Dy18 Tm6'
_symmetry_space_group_name_H-M 'R -3 m'
_symmetry_Int_Tables_number 166
_symmetry_space_group_name_Hall '-R 3 2"'
_cell_length_a 3.5826
_cell_length_b 3.5826
_cell_length_c 95.9995
_cell_angle_alpha 90.00
_cell_angle_beta 90.00
_cell_angle_gamma 120.00
loop_
_atom_site_label
_atom_site_fract_x
_atom_site_fract_y
_atom_site_fract_z
Pr1 0.0000 0.0000 0.0000
Pr2 0.0000 0.0000 0.2717
Dy1 0.0000 0.0000 0.0926
Dy2 0.0000 0.0000 0.1817
Dy3 0.0000 0.0000 0.3641
Tm1 0.0000 0.0000 0.4555
```

Properties
magnetic moment = 0.00 μB per formula unit
total energy = -0.169 Ha/atom
calculated volume = 1067.1 Å³ per cell
E_form = 0.021 eV per atom
Fermi-level density of states = 1.266 states/eV/atom

## Pr5DyTm2 (PBE)

Data for a relaxed structure of Pr5DyTm2.

Geometry as CIF:
```
data_Pr5DyTm2
_chemical_formula_sum 'Pr20 Dy4 Tm8'
_symmetry_space_group_name_H-M 'I 4/m c m'
_symmetry_Int_Tables_number 140
_symmetry_space_group_name_Hall '-I 4 2c'
_cell_length_a 9.297
_cell_length_b 9.297
_cell_length_c 12.742
_cell_angle_alpha 90.00
_cell_angle_beta 90.00
_cell_angle_gamma 90.00
loop_
_atom_site_label
_atom_site_fract_x
_atom_site_fract_y
_atom_site_fract_z
Pr1 0.000 0.000 0.000
Pr2 0.150 0.350 0.164
Dy1 0.000 0.000 0.250
Tm1 0.146 0.354 0.500
```

Properties
magnetic moment = 0.34 μB per formula unit
total energy = -0.168 Ha/atom
calculated volume = 1101.3 Å³ per cell
E_form = 0.120 eV per atom
Fermi-level density of states = 1.343 states/eV/atom

## Pr6DyTm4 (PBE)

Data for a relaxed structure of Pr6DyTm4.

Geometry as CIF:
```
data_Pr6DyTm4
_chemical_formula_sum 'Pr12 Dy2 Tm8'
_symmetry_space_group_name_H-M 'I -4 2 m'
_symmetry_Int_Tables_number 121
_symmetry_space_group_name_Hall 'I -4 2'
_cell_length_a 6.825
_cell_length_b 6.825
_cell_length_c 16.421
_cell_angle_alpha 90.00
_cell_angle_beta 90.00
_cell_angle_gamma 90.00
loop_
_atom_site_label
_atom_site_fract_x
_atom_site_fract_y
_atom_site_fract_z
Pr1 0.000 0.500 0.000
Pr2 0.192 0.192 0.178
Dy1 0.000 0.000 0.000
Tm1 0.174 0.174 0.387
```

Properties
magnetic moment = 0.00 μB per formula unit
total energy = -0.160 Ha/atom
calculated volume = 765.0 Å³ per cell
E_form = 0.299 eV per atom
Fermi-level density of states = 1.391 states/eV/atom

## Pr16Dy7Tm6 (PBE)

Data for a relaxed structure of Pr16Dy7Tm6.

Geometry as CIF:
```
data_Pr16Dy7Tm6
_chemical_formula_sum 'Pr64 Dy28 Tm24'
_symmetry_space_group_name_H-M 'F m -3 m'
_symmetry_Int_Tables_number 225
_symmetry_space_group_name_Hall '-F 4 2 3'
_cell_length_a 16.056
_cell_length_b 16.056
_cell_length_c 16.056
_cell_angle_alpha 90.00
_cell_angle_beta 90.00
_cell_angle_gamma 90.00
loop_
_atom_site_label
_atom_site_fract_x
_atom_site_fract_y
_atom_site_fract_z
Pr1 0.125 0.125 0.125
Pr2 0.148 0.148 0.352
Dy1 0.000 0.000 0.000
Dy2 0.000 0.250 0.250
Tm1 0.000 0.000 0.262
```

Properties
magnetic moment = 0.00 μB per formula unit
total energy = -0.164 Ha/atom
calculated volume = 4139.0 Å³ per cell
E_form = 0.207 eV per atom
Fermi-level density of states = 1.358 states/eV/atom

## Pr12DyTm2 (PBE)

Data for a relaxed structure of Pr12DyTm2.

Geometry as CIF:
```
data_Pr12DyTm2
_chemical_formula_sum 'Pr48 Dy4 Tm8'
_symmetry_space_group_name_H-M 'C m m e'
_symmetry_Int_Tables_number 67
_symmetry_space_group_name_Hall '-C 2a 2'
_cell_length_a 7.239
_cell_length_b 11.717
_cell_length_c 25.172
_cell_angle_alpha 90.00
_cell_angle_beta 90.00
_cell_angle_gamma 90.00
loop_
_atom_site_label
_atom_site_fract_x
_atom_site_fract_y
_atom_site_fract_z
Pr1 0.000 0.002 0.073
Pr2 0.000 0.024 0.560
Pr3 0.231 0.250 0.413
Pr4 0.249 0.250 0.869
Pr5 0.250 0.000 0.198
Pr6 0.250 0.000 0.323
Dy1 0.000 0.250 0.999
Tm1 0.000 0.250 0.267
Tm2 0.000 0.250 0.730
```

Properties
magnetic moment = 0.00 μB per formula unit
total energy = -0.168 Ha/atom
calculated volume = 2135.1 Å³ per cell
E_form = 0.157 eV per atom
Fermi-level density of states = 1.435 states/eV/atom

## Pr2DyTm4 (PBE)

Data for a relaxed structure of Pr2DyTm4.

Geometry as CIF:
```
data_Pr2DyTm4
_chemical_formula_sum 'Pr4 Dy2 Tm8'
_symmetry_space_group_name_H-M 'P 1'
_symmetry_Int_Tables_number 1
_symmetry_space_group_name_Hall 'P 1'
_cell_length_a 6.013
_cell_length_b 8.521
_cell_length_c 9.858
_cell_angle_alpha 85.17
_cell_angle_beta 72.60
_cell_angle_gamma 69.43
loop_
_atom_site_label
_atom_site_fract_x
_atom_site_fract_y
_atom_site_fract_z
Pr1 0.000 0.000 0.000
Pr2 0.009 0.931 0.361
Pr3 0.187 0.500 0.500
Pr4 0.296 0.068 0.639
Dy1 0.187 0.566 0.137
Dy2 0.892 0.433 0.863
Tm1 0.366 0.641 0.777
Tm2 0.400 0.146 0.273
Tm3 0.443 0.217 0.921
Tm4 0.582 0.782 0.079
Tm5 0.614 0.711 0.422
Tm6 0.744 0.288 0.580
Tm7 0.786 0.358 0.224
Tm8 0.816 0.853 0.727
```

Properties
magnetic moment = 0.00 μB per formula unit
total energy = -0.165 Ha/atom
calculated volume = 451.1 Å³ per cell
E_form = 0.081 eV per atom
Fermi-level density of states = 1.584 states/eV/atom

## Pr2Dy2Tm (PBE)

Data for a relaxed structure of Pr2Dy2Tm.

Geometry as CIF:
```
data_Pr2Dy2Tm
_chemical_formula_sum 'Pr8 Dy8 Tm4'
_symmetry_space_group_name_H-M 'I m m a'
_symmetry_Int_Tables_number 74
_symmetry_space_group_name_Hall '-I 2b 2'
_cell_length_a 3.659
_cell_length_b 5.748
_cell_length_c 31.859
_cell_angle_alpha 90.00
_cell_angle_beta 90.00
_cell_angle_gamma 90.00
loop_
_atom_site_label
_atom_site_fract_x
_atom_site_fract_y
_atom_site_fract_z
Pr1 0.000 0.250 0.022
Pr2 0.000 0.250 0.122
Dy1 0.000 0.250 0.291
Dy2 0.000 0.250 0.804
Tm1 0.000 0.250 0.581
```

Properties
magnetic moment = 0.00 μB per formula unit
total energy = -0.166 Ha/atom
calculated volume = 670.1 Å³ per cell
E_form = 0.139 eV per atom
Fermi-level density of states = 1.441 states/eV/atom

## PrDy12Tm5 (PBE)

Data for a relaxed structure of PrDy12Tm5.

Geometry as CIF:
```
data_PrDy12Tm5
_chemical_formula_sum 'Pr2 Dy24 Tm10'
_symmetry_space_group_name_H-M 'C m m m'
_symmetry_Int_Tables_number 65
_symmetry_space_group_name_Hall '-C 2 2'
_cell_length_a 14.987
_cell_length_b 15.013
_cell_length_c 4.997
_cell_angle_alpha 90.00
_cell_angle_beta 90.00
_cell_angle_gamma 90.00
loop_
_atom_site_label
_atom_site_fract_x
_atom_site_fract_y
_atom_site_fract_z
Pr1 0.000 0.000 0.000
Dy1 0.166 0.334 0.500
Dy2 0.166 0.500 0.000
Dy3 0.167 0.168 0.000
Dy4 0.168 0.000 0.500
Tm1 0.000 0.169 0.500
Tm2 0.000 0.334 0.000
Tm3 0.000 0.500 0.500
```

Properties
magnetic moment = 0.00 μB per formula unit
total energy = -0.167 Ha/atom
calculated volume = 1124.3 Å³ per cell
E_form = 0.022 eV per atom
Fermi-level density of states = 1.393 states/eV/atom

## Pr2Dy5Tm (PBE)

Data for a relaxed structure of Pr2Dy5Tm.

Geometry as CIF:
```
data_Pr2Dy5Tm
_chemical_formula_sum 'Pr4 Dy10 Tm2'
_symmetry_space_group_name_H-M 'I 4/m m m'
_symmetry_Int_Tables_number 139
_symmetry_space_group_name_Hall '-I 4 2'
_cell_length_a 5.069
_cell_length_b 5.069
_cell_length_c 20.186
_cell_angle_alpha 90.00
_cell_angle_beta 90.00
_cell_angle_gamma 90.00
loop_
_atom_site_label
_atom_site_fract_x
_atom_site_fract_y
_atom_site_fract_z
Pr1 0.000 0.000 0.250
Dy1 0.000 0.000 0.000
Dy2 0.000 0.500 0.122
Tm1 0.000 0.000 0.500
```

Properties
magnetic moment = 0.00 μB per formula unit
total energy = -0.169 Ha/atom
calculated volume = 518.6 Å³ per cell
E_form = 0.026 eV per atom
Fermi-level density of states = 1.520 states/eV/atom